## one
# HfZnCl2, relaxed, DFT PBE
data_HfZnCl2
_symmetry_space_group_name_H-M 'P 1'
_symmetry_Int_Tables_number 1
_symmetry_space_group_name_Hall 'P 1'
_cell_length_a 10.442
_cell_length_b 10.442
_cell_length_c 10.442
_cell_angle_alpha 17.64
_cell_angle_beta 17.64
_cell_angle_gamma 17.64
loop_
_atom_site_label
_atom_site_fract_x
_atom_site_fract_y
_atom_site_fract_z
_atom_site_occupancy
Hf1 0.000 0.000 0.000 1
Zn1 0.500 0.500 0.500 1
Cl1 0.393 0.393 0.393 1
Cl2 0.607 0.607 0.607 1
# - density (g cm⁻³) = 5.725
# - volume (Å³/cell) = 91.3
# - DOS at the Fermi energy (states/eV per cell) = 0.926
# - SG = R-3m
# - total magnetization (μB/cell) = 0.000

---

## two
# HfZnCl2, relaxed, DFT PBE
data_HfZnCl2
_symmetry_space_group_name_H-M 'P 1'
_symmetry_Int_Tables_number 1
_symmetry_space_group_name_Hall 'P 1'
_cell_length_a 7.006
_cell_length_b 7.006
_cell_length_c 7.006
_cell_angle_alpha 99.33
_cell_angle_beta 99.33
_cell_angle_gamma 132.50
loop_
_atom_site_label
_atom_site_fract_x
_atom_site_fract_y
_atom_site_fract_z
_atom_site_occupancy
Hf1 0.000 0.000 0.000 1
Hf2 0.750 0.250 0.500 1
Zn1 0.250 0.750 0.500 1
Zn2 0.500 0.500 0.000 1
Cl1 0.375 0.215 0.340 1
Cl2 0.785 0.125 0.160 1
Cl3 0.875 0.035 0.660 1
Cl4 0.965 0.625 0.840 1
# - density (g cm⁻³) = 4.506
# - volume (Å³/cell) = 232.0
# - DOS at the Fermi energy (states/eV per cell) = 4.733
# - SG = I-42d
# - total magnetization (μB/cell) = 2.113

---

Out of the structures above, which one is the least stable? Solution: two.